Material: KSbOs2
Method: DFT, PBE
State: relaxed

Cell lengths 2.779, 5.197, 6.385 Å; angles 90.00, 90.21, 90.00 degrees
Sites, in units of the cell vectors:
K (0.000, 0.000, 0.000)
Sb (0.500, 0.000, 0.500)
Os (0.498, 0.500, 0.319)
Os (0.502, 0.500, 0.681)

* DOS at the Fermi energy: 4.76 states/eV per cell
* total energy: -5.780 eV per atom
* formation energy from raw total energies: 1.1403 eV/atom
* spin magnetization: 0.832 μB per cell



Material: HfNb2SbBr
Method: DFT, PBE
State: relaxed

Cell lengths 5.119, 5.119, 5.366 Å; angles 90.00, 90.00, 90.00 degrees
Sites, in units of the cell vectors:
Hf (0.000, 0.000, 0.000)
Nb (0.000, 0.500, 0.500)
Nb (0.500, 0.000, 0.500)
Sb (0.000, 0.000, 0.500)
Br (0.500, 0.500, 0.000)

* DOS at the Fermi energy: 7.45 states/eV per cell
* total energy: -5.751 eV per atom
* formation energy from raw total energies: 1.4269 eV/atom
* spin magnetization: 0.000 μB per cell



Material: Ho3Er6Cd
Method: DFT, PBE
State: relaxed

Cell lengths 10.864, 10.864, 6.172 Å; angles 90.00, 90.00, 123.87 degrees
Sites, in units of the cell vectors:
Ho (0.105, 0.895, 0.500)
Ho (0.205, 0.455, 0.180)
Ho (0.455, 0.205, 0.680)
Ho (0.545, 0.795, 0.180)
Ho (0.795, 0.545, 0.680)
Ho (0.895, 0.105, 0.000)
Er (0.071, 0.462, 0.706)
Er (0.133, 0.209, 0.533)
Er (0.209, 0.133, 0.033)
Er (0.209, 0.791, 0.926)
Er (0.445, 0.555, 0.699)
Er (0.462, 0.071, 0.206)
Er (0.538, 0.929, 0.706)
Er (0.555, 0.445, 0.199)
Er (0.791, 0.209, 0.426)
Er (0.791, 0.867, 0.533)
Er (0.867, 0.791, 0.033)
Er (0.929, 0.538, 0.206)
Cd (0.260, 0.740, 0.425)
Cd (0.740, 0.260, 0.925)

* DOS at the Fermi energy: 23.91 states/eV per cell
* DFT formation energy: 0.060 eV/atom
* total energy: -4.143 eV per atom
* spin magnetization: 0.000 μB per cell



Material: LiSb2
Method: DFT, PBE
State: relaxed

Cell lengths 5.989, 5.989, 7.596 Å; angles 116.15, 116.15, 39.34 degrees
Sites, in units of the cell vectors:
Li (0.192, 0.192, 0.154)
Li (0.808, 0.808, 0.846)
Sb (0.132, 0.132, 0.505)
Sb (0.471, 0.471, 0.172)
Sb (0.529, 0.529, 0.828)
Sb (0.868, 0.868, 0.495)

* DOS at the Fermi energy: 2.61 states/eV per cell
* total energy: -3.516 eV per atom
* formation energy from raw total energies: -0.1297 eV/atom
* spin magnetization: 0.000 μB per cell



Material: CeAgSb2
Method: DFT, PBE
State: relaxed

Cell lengths 4.825, 4.825, 4.247 Å; angles 90.00, 90.00, 90.00 degrees
Sites, in units of the cell vectors:
Ce (0.000, 0.000, 0.000)
Ag (0.500, 0.500, 0.000)
Sb (0.000, 0.500, 0.500)
Sb (0.500, 0.000, 0.500)

* DOS at the Fermi energy: 3.66 states/eV per cell
* total energy: -4.820 eV per atom
* formation energy from raw total energies: -0.5629 eV/atom
* spin magnetization: 0.002 μB per cell



Material: HgBNO2
Method: DFT, PBE
State: relaxed

Cell lengths 4.272, 4.272, 4.240 Å; angles 90.00, 90.00, 90.00 degrees
Sites, in units of the cell vectors:
Hg (0.000, 0.000, 0.000)
B (0.500, 0.500, 0.500)
N (0.000, 0.000, 0.500)
O (0.000, 0.500, 0.000)
O (0.500, 0.000, 0.000)

* DOS at the Fermi energy: 3.53 states/eV per cell
* total energy: -2.910 eV per atom
* formation energy from raw total energies: 2.1339 eV/atom
* spin magnetization: 2.349 μB per cell



Material: TaMnAlPt
Method: DFT, PBE
State: relaxed

Cell lengths 4.375, 4.375, 4.375 Å; angles 60.00, 60.00, 60.00 degrees
Sites, in units of the cell vectors:
Ta (0.000, 0.000, 0.000)
Mn (0.750, 0.750, 0.750)
Al (0.500, 0.500, 0.500)
Pt (0.250, 0.250, 0.250)

* DOS at the Fermi energy: 3.47 states/eV per cell
* DFT formation energy: -0.421 eV/atom
* total energy: -8.123 eV per atom
* spin magnetization: 0.807 μB per cell



Material: NaHo3
Method: DFT, PBE
State: relaxed

Cell lengths 5.000, 5.000, 5.000 Å; angles 90.00, 90.00, 90.00 degrees
Sites, in units of the cell vectors:
Na (0.000, 0.000, 0.000)
Ho (0.000, 0.500, 0.500)
Ho (0.500, 0.000, 0.500)
Ho (0.500, 0.500, 0.000)

* DOS at the Fermi energy: 6.46 states/eV per cell
* DFT formation energy: 0.321 eV/atom
* total energy: -3.442 eV per atom
* spin magnetization: 0.003 μB per cell



Material: CuSi2
Method: DFT, PBE
State: relaxed

Cell lengths 3.756, 3.756, 7.496 Å; angles 90.00, 90.00, 120.00 degrees
Sites, in units of the cell vectors:
Cu (0.000, 0.000, 0.250)
Cu (0.000, 0.000, 0.750)
Si (0.333, 0.667, 0.076)
Si (0.333, 0.667, 0.424)
Si (0.667, 0.333, 0.576)
Si (0.667, 0.333, 0.924)

* DOS at the Fermi energy: 0.56 states/eV per cell
* total energy: -4.703 eV per atom
* formation energy from raw total energies: 0.2775 eV/atom
* spin magnetization: 0.000 μB per cell



Material: LiTb3Mg2
Method: DFT, PBE
State: relaxed

Cell lengths 3.784, 3.784, 11.272 Å; angles 90.00, 90.00, 90.00 degrees
Sites, in units of the cell vectors:
Li (0.000, 0.000, 0.000)
Tb (0.500, 0.500, 0.167)
Tb (0.500, 0.500, 0.500)
Tb (0.500, 0.500, 0.833)
Mg (0.000, 0.000, 0.334)
Mg (0.000, 0.000, 0.666)

* DOS at the Fermi energy: 6.29 states/eV per cell
* DFT formation energy: -0.013 eV/atom
* total energy: -3.179 eV per atom
* spin magnetization: 0.000 μB per cell



Material: MnReW2
Method: DFT, PBE
State: relaxed

Cell lengths 2.686, 4.396, 5.150 Å; angles 90.00, 99.58, 90.00 degrees
Sites, in units of the cell vectors:
Mn (0.000, 0.000, 0.000)
Re (0.734, 0.500, 0.256)
W (0.245, 0.500, 0.768)
W (0.487, 0.000, 0.501)

* DOS at the Fermi energy: 2.87 states/eV per cell
* DFT formation energy: 0.092 eV/atom
* total energy: -11.789 eV per atom
* spin magnetization: 2.138 μB per cell



Material: LiBe2F6
Method: DFT, PBE
State: relaxed

Cell lengths 5.421, 5.421, 5.421 Å; angles 49.64, 49.64, 49.64 degrees
Sites, in units of the cell vectors:
Li (0.000, 0.000, 0.000)
Be (0.482, 0.482, 0.482)
Be (0.793, 0.793, 0.793)
F (0.085, 0.721, 0.442)
F (0.229, 0.610, 0.839)
F (0.442, 0.085, 0.721)
F (0.610, 0.839, 0.229)
F (0.721, 0.442, 0.085)
F (0.839, 0.229, 0.610)

* DOS at the Fermi energy: 3.78 states/eV per cell
* total energy: -4.876 eV per atom
* formation energy from raw total energies: -2.5880 eV/atom
* spin magnetization: 1.001 μB per cell